(1)
DFT (GGA-PBE) results for crystalline La2Pm5Pr4 at its relaxed geometry.

a = 5.8501 Å, b = 6.8057 Å, c = 10.3578 Å
α = 90.97°, β = 106.40°, γ = 90.00°
With the nearest neighbours (Å) after each atom.
Element x y z (fractional)
Pm 0.7901 0.6004 0.5802  4 Pm 3.59-3.76, 5 Pr 3.65-3.96, 3 La 3.86-3.89
Pm 0.8679 0.1004 0.7358  5 Pr 3.26-3.44
Pm 0.5000 0.0000 0.0000  6 Pr 3.52-3.93, 2 La 3.63
Pm 0.2099 0.3996 0.4198  4 Pm 3.59-3.76, 5 Pr 3.65-3.96, 3 La 3.86-3.89
Pm 0.1321 0.8996 0.2642  5 Pr 3.26-3.44
Pr 0.6963 0.0816 0.3927  6 Pm 3.41-3.80, 2 Pr 3.80, 1 La 3.80
Pr 0.9789 0.7187 0.9577  1 Pr 3.11, 2 Pm 3.26-3.44
Pr 0.3037 0.9184 0.6073  6 Pm 3.41-3.80, 2 Pr 3.80, 1 La 3.80
Pr 0.0211 0.2813 0.0423  1 Pr 3.11, 2 Pm 3.26-3.44
La 0.4052 0.4506 0.8104  6 Pm 3.63-3.89, 5 Pr 3.73-3.91, 1 La 3.81
La 0.5948 0.5494 0.1896  6 Pm 3.63-3.89, 5 Pr 3.73-3.91, 1 La 3.81

Results
Excess energy over the best structure of this formula in the dataset: 0 meV/atom

***

(2)
DFT (GGA-PBE) results for crystalline LaPm8Pr2 at its relaxed geometry.

a = 5.7347 Å, b = 10.4136 Å, c = 10.4136 Å
α = 40.23°, β = 93.32°, γ = 93.32°
With the nearest neighbours (Å) after each atom.
Element x y z (fractional)
Pm 0.2386 0.5445 0.5445  1 Pm 3.15, 1 Pr 3.35
Pm 0.2684 0.6031 0.1365  4 Pm 3.34-3.67, 3 Pr 3.56-3.74, 1 La 3.60
Pm 0.7683 0.8133 0.8133  4 Pr 3.40-3.63, 4 Pm 3.56-3.67, 1 La 3.81
Pm 0.7316 0.3969 0.8635  4 Pm 3.34-3.67, 3 Pr 3.56-3.74, 1 La 3.60
Pm 0.2684 0.1365 0.6031  4 Pm 3.34-3.67, 3 Pr 3.56-3.74, 1 La 3.60
Pm 0.7614 0.4555 0.4555  1 Pm 3.15, 1 Pr 3.35
Pm 0.7316 0.8635 0.3969  4 Pm 3.34-3.67, 3 Pr 3.56-3.74, 1 La 3.60
Pm 0.2317 0.1867 0.1867  4 Pr 3.40-3.63, 4 Pm 3.56-3.67, 1 La 3.81
Pr 0.2556 0.7158 0.7158  11 Pm 3.35-3.74
Pr 0.7444 0.2842 0.2842  11 Pm 3.35-3.74
La 0.0000 0.0000 0.0000  10 Pm 3.60-3.91

Results
Excess energy over the best structure of this formula in the dataset: 38 meV/atom

***

(3)
DFT (GGA-PBE) results for crystalline La3Pm8Pr2 at its relaxed geometry.

a = 5.7894 Å, b = 7.8013 Å, c = 11.1804 Å
α = 110.42°, β = 90.07°, γ = 90.00°
With the nearest neighbours (Å) after each atom.
Element x y z (fractional)
Pm 0.9981 0.3291 0.6582  2 Pr 3.42-3.43, 4 Pm 3.58-3.59
Pm 0.5006 0.8152 0.2133  1 La 3.19, 1 Pm 3.25, 1 Pr 3.57
Pm 0.0019 0.6709 0.3418  2 Pr 3.42-3.43, 4 Pm 3.58-3.59
Pm 0.9991 0.1338 0.2675  4 La 3.63-4.04, 2 Pr 3.66-3.68, 6 Pm 3.72-3.98
Pm 0.0009 0.8662 0.7325  4 La 3.63-4.04, 2 Pr 3.66-3.68, 6 Pm 3.72-3.98
Pm 0.4994 0.6019 0.7867  1 La 3.19, 1 Pm 3.25, 1 Pr 3.57
Pm 0.5006 0.3981 0.2133  1 La 3.19, 1 Pm 3.25, 1 Pr 3.57
Pm 0.4994 0.1848 0.7867  1 La 3.19, 1 Pm 3.25, 1 Pr 3.57
La 0.0000 0.2954 0.0000  1 La 3.19
La 0.0000 0.7046 0.0000  1 La 3.19
La 0.5000 0.0000 0.0000  4 Pm 3.19
Pr 0.4974 0.2418 0.4835  8 Pm 3.42-3.68
Pr 0.5026 0.7582 0.5165  8 Pm 3.42-3.68

Results
Excess energy over the best structure of this formula in the dataset: 81 meV/atom

***

(4)
DFT (GGA-PBE) results for crystalline LaPm4Pr10 at its relaxed geometry.

a = 10.9943 Å, b = 9.0517 Å, c = 9.0517 Å
α = 68.36°, β = 52.61°, γ = 52.61°
With the nearest neighbours (Å) after each atom.
Element x y z (fractional)
Pr 0.9486 0.6573 0.1062  2 Pr 3.17-3.25, 1 La 3.18
Pr 0.2500 0.5000 0.5000  4 Pr 3.17
Pr 0.0514 0.3427 0.8938  2 Pr 3.17-3.25, 1 La 3.18
Pr 0.3941 0.8938 0.6573  2 Pr 3.17-3.25, 1 La 3.18
Pr 0.2880 0.6573 0.1062  2 Pr 3.17-3.25, 1 La 3.18
Pr 0.7500 0.5000 0.5000  4 Pr 3.17
Pr 0.7120 0.3427 0.8938  2 Pr 3.17-3.25, 1 La 3.18
Pr 0.9452 0.1062 0.3427  2 Pr 3.17-3.25, 1 La 3.18
Pr 0.6059 0.1062 0.3427  2 Pr 3.17-3.25, 1 La 3.18
Pr 0.0548 0.8938 0.6573  2 Pr 3.17-3.25, 1 La 3.18
La 0.0000 0.0000 0.0000  8 Pr 3.18
Pm 0.5570 0.6659 0.2201  8 Pr 3.61-4.01
Pm 0.4430 0.3341 0.7799  8 Pr 3.61-4.01
Pm 0.2229 0.2201 0.3341  8 Pr 3.61-4.01
Pm 0.7771 0.7799 0.6659  8 Pr 3.61-4.01

***

(5)
DFT (GGA-PBE) results for crystalline La3Pm3Pr4 at its relaxed geometry.

a = 3.8813 Å, b = 9.7434 Å, c = 9.7434 Å
α = 89.76°, β = 90.00°, γ = 90.00°
With the nearest neighbours (Å) after each atom.
Element x y z (fractional)
Pr 0.0000 0.6280 0.3720  6 Pm 3.38-3.52, 1 Pr 3.51
Pr 0.0000 0.8695 0.8727  4 Pm 3.39-3.51, 3 La 3.54-3.78, 1 Pr 3.56
Pr 0.0000 0.3728 0.6272  2 La 3.39, 1 Pr 3.51, 4 Pm 3.52
Pr 0.0000 0.1273 0.1305  4 Pm 3.39-3.51, 3 La 3.54-3.78, 1 Pr 3.56
La 0.5000 0.1704 0.8296  6 Pr 3.39-3.54
La 0.0000 0.9984 0.4967  4 Pr 3.78-3.87, 4 La 3.88-4.14, 6 Pm 4.08-4.10
La 0.0000 0.5033 0.0016  4 Pr 3.78-3.87, 4 La 3.88-4.14, 6 Pm 4.08-4.10
Pm 0.5000 0.3304 0.3294  6 Pr 3.39-3.52
Pm 0.5000 0.6706 0.6696  6 Pr 3.39-3.52
Pm 0.5000 0.8294 0.1706  6 Pr 3.38-3.51

***

(6)
DFT (GGA-PBE) results for crystalline LaPm5Pr2 at its relaxed geometry.

a = 6.5291 Å, b = 12.3475 Å, c = 15.1017 Å
α = 92.33°, β = 77.52°, γ = 74.67°
With the nearest neighbours (Å) after each atom.
Element x y z (fractional)
Pm 0.8624 0.4126 0.0197  4 Pm 3.15-3.48, 2 La 3.46
Pm 0.2946 0.0874 0.4803  4 Pm 3.15-3.48, 2 La 3.46
Pm 0.7054 0.9126 0.5197  4 Pm 3.15-3.48, 2 La 3.46
Pm 0.6051 0.6622 0.4683  4 Pm 3.42-3.68, 4 Pr 3.48-3.62, 1 La 3.68
Pm 0.1406 0.6980 0.7863  2 Pm 3.28-3.58, 3 Pr 3.52-3.67, 2 La 3.56-3.64
Pm 0.7955 0.1822 0.6384  5 Pm 3.48-3.77, 2 Pr 3.68-3.74, 2 La 3.74-3.79
Pm 0.8594 0.3020 0.2137  2 Pm 3.28-3.58, 3 Pr 3.52-3.67, 2 La 3.56-3.64
Pm 0.3839 0.6822 0.1384  5 Pm 3.48-3.77, 2 Pr 3.68-3.74, 2 La 3.74-3.79
Pm 0.8003 0.0026 0.8348  4 Pr 3.53-3.88, 6 Pm 3.58-3.78, 1 La 3.62
Pm 0.7356 0.8378 0.0317  4 Pm 3.42-3.68, 4 Pr 3.48-3.62, 1 La 3.68
Pm 0.3949 0.3378 0.5317  4 Pm 3.42-3.68, 4 Pr 3.48-3.62, 1 La 3.68
Pm 0.6161 0.3178 0.8616  5 Pm 3.48-3.77, 2 Pr 3.68-3.74, 2 La 3.74-3.79
Pm 0.6250 0.8020 0.7137  2 Pm 3.28-3.58, 3 Pr 3.52-3.67, 2 La 3.56-3.64
Pm 0.6377 0.4974 0.6652  4 Pr 3.53-3.88, 6 Pm 3.58-3.78, 1 La 3.62
Pm 0.1997 0.9974 0.1652  4 Pr 3.53-3.88, 6 Pm 3.58-3.78, 1 La 3.62
Pm 0.2045 0.8178 0.3616  5 Pm 3.48-3.77, 2 Pr 3.68-3.74, 2 La 3.74-3.79
Pm 0.2644 0.1622 0.9683  4 Pm 3.42-3.68, 4 Pr 3.48-3.62, 1 La 3.68
Pm 0.3623 0.5026 0.3348  4 Pr 3.53-3.88, 6 Pm 3.58-3.78, 1 La 3.62
Pm 0.1376 0.5874 0.9803  4 Pm 3.15-3.48, 2 La 3.46
Pm 0.3750 0.1980 0.2863  2 Pm 3.28-3.58, 3 Pr 3.52-3.67, 2 La 3.56-3.64
Pr 0.7019 0.9028 0.2709  1 La 3.52, 8 Pm 3.61-3.88, 1 Pr 3.63
Pr 0.2542 0.8828 0.9407  7 Pm 3.48-3.67, 1 La 3.56, 1 Pr 3.81
Pr 0.0777 0.6172 0.5593  7 Pm 3.48-3.67, 1 La 3.56, 1 Pr 3.81
Pr 0.7458 0.1172 0.0593  7 Pm 3.48-3.67, 1 La 3.56, 1 Pr 3.81
Pr 0.1244 0.4028 0.7709  1 La 3.52, 8 Pm 3.61-3.88, 1 Pr 3.63
Pr 0.8756 0.5972 0.2291  1 La 3.52, 8 Pm 3.61-3.88, 1 Pr 3.63
Pr 0.9223 0.3828 0.4407  7 Pm 3.48-3.67, 1 La 3.56, 1 Pr 3.81
Pr 0.2981 0.0972 0.7291  1 La 3.52, 8 Pm 3.61-3.88, 1 Pr 3.63
La 0.1534 0.8854 0.6137  9 Pm 3.46-3.79, 2 Pr 3.52-3.56
La 0.6525 0.6146 0.8863  9 Pm 3.46-3.79, 2 Pr 3.52-3.56
La 0.3475 0.3854 0.1137  9 Pm 3.46-3.79, 2 Pr 3.52-3.56
La 0.8466 0.1146 0.3863  9 Pm 3.46-3.79, 2 Pr 3.52-3.56

Results
Excess energy over the best structure of this formula in the dataset: 83 meV/atom

***

Asked for energy of formation across the records above, the calculation gives 0.095 0.143 0.218 0.396 0.093 0.099 eV per atom in order.